# Dy3AlSi | Alexandria | PBE-GGA | relaxed
# - total energy (eV/f.u.) = -24.9
# - energy relative to the elements, uncorrected (meV per atom) = -383
# - space-group type = No. 2
data_Dy3AlSi
_cell_length_a 4.117
_cell_length_b 7.613
_cell_length_c 8.433
_cell_angle_alpha 88.37
_cell_angle_beta 89.90
_cell_angle_gamma 74.45
_symmetry_space_group_name_H-M 'P 1'
_symmetry_Int_Tables_number 1
loop_
_symmetry_equiv_pos_as_xyz
'x,y,z'
loop_
_atom_site_label
_atom_site_fract_x
_atom_site_fract_y
_atom_site_fract_z
Dy1 0.049 0.401 0.175
Dy2 0.236 0.028 0.823
Dy3 0.406 0.684 0.404
Dy4 0.594 0.316 0.596
Dy5 0.764 0.972 0.177
Dy6 0.951 0.599 0.825
Al1 0.205 0.092 0.435
Al2 0.795 0.908 0.565
Si1 0.394 0.711 0.060
Si2 0.606 0.289 0.940